DFT (PBE) results for crystalline La2Tb7Dy3 at its relaxed geometry.

Results
**Total energy**: -4.55 eV per atom
**Polymorph energy (0 for the lowest one)**: 40.1 meV/atom
**Crystal system**: orthorhombic

abc: 3.6274 5.7403 19.3326
angles: 98.54 90.00 90.00
Last column: nearest neighbours and their distance in Å.
Positions (direct):
1 La 0.0000 0.8524 0.7048  3 Tb 3.18-3.46
2 La 0.0000 0.1476 0.2952  3 Tb 3.18-3.46
3 Tb 0.0000 0.4116 0.8232  6 Tb 3.46-3.63, 2 La 3.66, 2 Dy 3.84
4 Tb 0.0000 0.7692 0.5385  1 La 3.18, 2 Tb 3.22
5 Tb 0.0000 0.0000 0.0000  6 Tb 3.25-3.63, 4 Dy 3.40
6 Tb 0.0000 0.5884 0.1768  6 Tb 3.46-3.63, 2 La 3.66, 2 Dy 3.84
7 Tb 0.5000 0.0704 0.1409  8 Tb 3.25-3.63, 2 La 3.46
8 Tb 0.5000 0.9296 0.8591  8 Tb 3.25-3.63, 2 La 3.46
9 Tb 0.0000 0.2308 0.4615  1 La 3.18, 2 Tb 3.22
10 Dy 0.5000 0.5000 0.0000  4 Tb 3.40, 2 Dy 3.63
11 Dy 0.5000 0.6870 0.3740  2 Dy 3.63, 6 Tb 3.63-3.79, 4 La 3.71
12 Dy 0.5000 0.3130 0.6260  2 Dy 3.63, 6 Tb 3.63-3.79, 4 La 3.71

DFT (PBE) results for crystalline La8TbDy6 at its relaxed geometry.

Results
**Total energy**: -4.61 eV per atom
**Crystal system**: trigonal

abc: 6.6965 9.4644 9.4644
angles: 120.00 90.00 90.00
Last column: nearest neighbours and their distance in Å.
Positions (direct):
1 La 0.8324 0.0434 0.2930  3 La 3.23-3.43, 2 Dy 3.36-3.45, 1 Tb 3.42
2 La 0.8324 0.7070 0.7504  3 La 3.23-3.43, 2 Dy 3.36-3.45, 1 Tb 3.42
3 La 0.8324 0.2496 0.9566  3 La 3.23-3.43, 2 Dy 3.36-3.45, 1 Tb 3.42
4 La 0.1676 0.9566 0.7070  3 La 3.23-3.43, 2 Dy 3.36-3.45, 1 Tb 3.42
5 La 0.1676 0.2930 0.2496  3 La 3.23-3.43, 2 Dy 3.36-3.45, 1 Tb 3.42
6 La 0.1676 0.7504 0.0434  3 La 3.23-3.43, 2 Dy 3.36-3.45, 1 Tb 3.42
7 La 0.8811 0.3333 0.6667  3 La 3.23
8 La 0.1189 0.6667 0.3333  3 La 3.23
9 Tb 0.5000 0.0000 0.0000  6 La 3.42
10 Dy 0.6514 0.6610 0.0972  1 Dy 3.34, 5 La 3.36-3.72
11 Dy 0.6514 0.9028 0.5638  1 Dy 3.34, 5 La 3.36-3.72
12 Dy 0.6514 0.4362 0.3390  1 Dy 3.34, 5 La 3.36-3.72
13 Dy 0.3486 0.3390 0.9028  1 Dy 3.34, 5 La 3.36-3.72
14 Dy 0.3486 0.0972 0.4362  1 Dy 3.34, 5 La 3.36-3.72
15 Dy 0.3486 0.5638 0.6610  1 Dy 3.34, 5 La 3.36-3.72

DFT (PBE) results for crystalline LaTbDy2 at its relaxed geometry.

Results
**Total energy**: -4.67 eV per atom
**Polymorph energy (0 for the lowest one)**: 4.8 meV/atom
**Crystal system**: orthorhombic

abc: 5.1162 7.1825 7.1821
angles: 90.67 89.99 89.98
Last column: nearest neighbours and their distance in Å.
Positions (direct):
1 La 0.2500 0.8724 0.1276  8 Dy 3.56-3.62, 2 Tb 3.62, 2 La 3.65
2 La 0.7500 0.1276 0.8724  8 Dy 3.56-3.62, 2 Tb 3.62, 2 La 3.65
3 Tb 0.2500 0.3782 0.6218  8 Dy 3.56-3.62, 2 Tb 3.57, 2 La 3.62
4 Tb 0.7500 0.6218 0.3782  8 Dy 3.56-3.62, 2 Tb 3.57, 2 La 3.62
5 Dy 0.7500 0.6237 0.8736  4 Tb 3.56-3.62, 4 La 3.56-3.62, 4 Dy 3.61-3.62
6 Dy 0.7500 0.1264 0.3763  4 Tb 3.56-3.62, 4 La 3.56-3.62, 4 Dy 3.61-3.62
7 Dy 0.2500 0.3763 0.1264  4 Tb 3.56-3.62, 4 La 3.56-3.62, 4 Dy 3.61-3.62
8 Dy 0.2500 0.8736 0.6237  4 Tb 3.56-3.62, 4 La 3.56-3.62, 4 Dy 3.61-3.62

Which value of total energy does entry 1 give? -4.55 eV per atom

Which of these has the lowest total energy? LaTbDy2